# TbY2NpP4 PBE relaxed
data_TbY2NpP4
_symmetry_space_group_name_H-M 'P 1 2/m 1'
_symmetry_Int_Tables_number 10
_cell_length_a 6.922
_cell_length_b 3.995
_cell_length_c 6.925
_cell_angle_alpha 90.00
_cell_angle_beta 109.34
_cell_angle_gamma 90.00
loop_
_symmetry_equiv_pos_as_xyz
'x,y,z'
'-x,-y,-z'
'-x,y,-z'
'x,-y,z'
loop_
_atom_site_label
_atom_site_fract_x
_atom_site_fract_y
_atom_site_fract_z
Tb1 0.000 0.000 0.000
Y1 0.500 0.000 0.500
Y2 0.500 0.500 0.000
Np1 0.000 0.500 0.500
P1 0.246 0.000 0.745
P2 0.247 0.500 0.254
# - crystal system = monoclinic
# - final energy (eV per atom) = -7.95